VASP calculation (PBE+U) on a relaxed TaFe3O crystal.

Values from the calculation:
**Energy above the lowest structure with this stoichiometry**: 1999 meV per atom
**Fermi-level density of states**: 7.236 states/eV per cell
**VASP energy**: -4.4461 eV per atom

Lattice parameters (Å, degrees): 5.056 5.056 5.056 90.00 90.00 90.00
Space group Pm-3m (No. 221)
Inequivalent atoms, fractional coordinates:
Ta1 0.000 0.000 0.000 x1
Fe1 0.000 0.000 0.500 x3
O1 0.500 0.500 0.500 x1